## Mn2BiO (PBE with a Hubbard U)

Data for a relaxed Mn2BiO crystal.

abc: 6.444 6.444 7.913
angles: 90.00 90.00 90.00
Space group I-42d (No. 122)
Inequivalent atoms, fractional coordinates:
Mn 0.132 0.250 0.125
Bi 0.000 0.000 0.500
O 0.000 0.000 0.000

Results
M_tot (μB/f.u.): 9.0
Energy (eV/atom): -6.519
Energy above the most stable polymorph in this dataset (kJ/mol of atoms): 0.0